(1)
Computed, not measured: a relaxed structure of HoPtAu at the GGA-PBE level of DFT.

Structure (POSCAR):
```
HoPtAu
1.0
3.3802 0.0000 0.0000
0.0000 4.6363 0.0000
0.0000 -2.3182 4.0152
Au Ho Pt
1 1 1
Direct
0.1675 0.0000 0.0000
0.6669 0.6667 0.3333
0.1656 0.3333 0.6667
```

- SG = P3m1, No. 156
- Fermi-level density of states (states/eV/atom) = 0.75
- relative energy among the computed polymorphs (meV per atom) = 145


(2)
Computed, not measured: a relaxed structure of Ho4PtAu3 at the GGA-PBE level of DFT.

Structure (POSCAR):
```
Ho4PtAu3
1.0
3.7291 0.0000 0.0000
0.0000 4.6405 0.0000
0.0000 0.0000 10.7698
Ho Pt Au
4 1 3
Direct
0.5000 0.5000 0.3527
0.0000 0.5000 0.8695
0.0000 0.0000 0.1370
0.5000 0.0000 0.6397
0.5000 0.5000 0.0881
0.0000 0.5000 0.5895
0.0000 0.0000 0.4113
0.5000 0.0000 0.9121
```

- SG = Pmm2, No. 25
- Fermi-level density of states (states/eV/atom) = 0.50


(3)
Computed, not measured: a relaxed structure of Ho4PtAu2 at the GGA-PBE level of DFT.

Structure (POSCAR):
```
Ho4PtAu2
1.0
0.8814 -2.5277 4.1816
1.5040 -4.7264 -0.2263
8.6425 0.0858 1.1779
Au Ho Pt
2 4 1
Direct
0.7580 0.7580 0.7261
0.2420 0.2420 0.2739
0.8776 0.8776 0.3672
0.1224 0.1224 0.6328
0.6275 0.6275 0.1174
0.3725 0.3725 0.8826
0.0000 0.0000 0.0000
```

- SG = R-3m, No. 166
- Fermi-level density of states (states/eV/atom) = 0.57


(4)
Computed, not measured: a relaxed structure of HoPt3Au at the GGA-PBE level of DFT.

Structure (POSCAR):
```
HoPt3Au
1.0
-2.5582 4.4803 1.3902
-3.4887 -3.3854 4.4902
5.7677 2.7683 1.6921
Ho Pt Au
2 6 2
Direct
0.2500 0.3335 0.6665
0.7500 0.6665 0.3335
0.2500 0.7974 0.2026
0.7500 0.2026 0.7974
0.2500 0.7973 0.5949
0.7500 0.2027 0.4051
0.2500 0.4051 0.2027
0.7500 0.5949 0.7973
0.0000 0.0000 0.0000
0.5000 0.0000 0.0000
```

- SG = P6_3/mmc, No. 194
- Fermi-level density of states (states/eV/atom) = 0.44
- relative energy among the computed polymorphs (meV per atom) = 140


(5)
Computed, not measured: a relaxed structure of HoPtAu at the GGA-PBE level of DFT.

Structure (POSCAR):
```
HoPtAu
1.0
-1.3939 -1.0508 3.2225
-1.9630 -2.5903 -1.6937
5.0764 -1.0941 -0.2450
Au Ho Pt
1 1 1
Direct
0.2832 0.2832 0.5664
0.6105 0.6105 0.2209
0.9563 0.9563 0.9127
```

- SG = I4mm, No. 107
- Fermi-level density of states (states/eV/atom) = 0.42
- relative energy among the computed polymorphs (meV per atom) = 21


(6)
Computed, not measured: a relaxed structure of HoPtAu3 at the GGA-PBE level of DFT.

Structure (POSCAR):
```
HoPtAu3
1.0
5.1868 0.0000 0.0000
0.0000 5.1868 0.0000
-2.5934 -2.5934 9.3471
Ho Pt Au
2 2 6
Direct
0.5756 0.0756 0.1512
0.9244 0.4244 0.8488
0.0000 0.0000 0.0000
0.2500 0.7500 0.5000
0.6226 0.8734 0.7468
0.1266 0.8758 0.2532
0.1266 0.3774 0.2532
0.1242 0.8734 0.7468
0.3287 0.3287 0.6573
0.6713 0.6713 0.3427
```

- SG = I-4m2, No. 119
- Fermi-level density of states (states/eV/atom) = 0.51


In meV per atom, the formation energy from the elements values for the records above are, in order, -832.3 -1001.8 -826.3 -433.8 -956.2 -259.2.
In μB/cell, the M_tot values for the records above are, in order, 0.00 0.00 0.00 0.00 0.00 0.00.
In eV for the cell shown, the total DFT energy (no corrections) values for the records above are, in order, -16.39 -42.20 -36.69 -56.29 -16.76 -43.49.